[1]
DFT (PBE) results for a relaxed structure of KZrAsO6.

Cell and atoms, written as POSCAR:
```
KZrAsO6
1.0
5.4204 0.0000 0.0000
2.7057 4.8413 0.0000
0.1696 -0.0122 5.6888
K Zr As O
1 1 1 6
Direct
0.0000 0.0000 0.0000
0.3263 0.3508 0.4995
0.6737 0.6501 0.4993
0.4103 0.6194 0.6932
0.4142 0.9668 0.3384
0.6176 0.9683 0.6608
0.6249 0.4162 0.3067
0.9566 0.4160 0.6896
0.9707 0.6193 0.3093
```

Output
Symmetry: P1, No. 1

---

[2]
DFT (PBE) results for a relaxed structure of K3ZrAs2O8.

Cell and atoms, written as POSCAR:
```
K3ZrAs2O8
1.0
5.9279 0.0000 0.0000
-2.9639 5.1337 0.0000
0.0000 0.0000 7.7738
K Zr As O
3 1 2 8
Direct
0.0000 0.0000 0.0000
0.3333 0.6667 0.7226
0.6667 0.3333 0.2774
0.0000 0.0000 0.5000
0.3333 0.6667 0.2653
0.6667 0.3333 0.7347
0.1662 0.3323 0.3366
0.1662 0.8338 0.3366
0.3323 0.1662 0.6634
0.3333 0.6667 0.0483
0.6667 0.3333 0.9517
0.6677 0.8338 0.3366
0.8338 0.1662 0.6634
0.8338 0.6677 0.6634
```

Output
Symmetry: P-3m1, No. 164

---

[3]
DFT (PBE) results for a relaxed structure of KZrAs2O8.

Cell and atoms, written as POSCAR:
```
KZrAs2O8
1.0
5.5482 0.0000 0.0000
-2.7741 4.8049 0.0000
0.0000 0.0000 7.7227
K Zr As O
1 1 2 8
Direct
0.0000 0.0000 0.0000
0.0000 0.0000 0.5000
0.3333 0.6667 0.7362
0.6667 0.3333 0.2638
0.1025 0.3381 0.6649
0.2356 0.8975 0.6649
0.3333 0.6667 0.9585
0.3381 0.2356 0.3351
0.6619 0.7644 0.6649
0.6667 0.3333 0.0415
0.7644 0.1025 0.3351
0.8975 0.6619 0.3351
```

Output
Symmetry: P-3, No. 147

---

[4]
DFT (PBE) results for a relaxed structure of KZrAsO5.

Cell and atoms, written as POSCAR:
```
KZrAsO5
1.0
3.6535 -4.7778 0.0000
3.6535 4.7778 0.0000
-3.3429 0.0000 6.9999
K Zr As O
2 2 2 10
Direct
0.1711 0.8289 0.7500
0.8289 0.1711 0.2500
0.5000 0.5000 0.0000
0.5000 0.5000 0.5000
0.1857 0.8143 0.2500
0.8143 0.1857 0.7500
0.1123 0.2653 0.9011
0.2015 0.6256 0.3834
0.2653 0.1123 0.4011
0.3744 0.7985 0.1166
0.4389 0.5611 0.7500
0.5611 0.4389 0.2500
0.6256 0.2015 0.8834
0.7347 0.8877 0.5989
0.7985 0.3744 0.6166
0.8877 0.7347 0.0989
```

Output
Symmetry: C2/c, No. 15

---

Number 1: M_tot 2.044 μB/f.u., formation energy from raw total energies -1.6273 eV per atom. Number 2: M_tot 0.000 μB/f.u., formation energy from raw total energies -1.8483 eV per atom. Number 3: M_tot 1.037 μB/f.u., formation energy from raw total energies -1.7389 eV per atom. Number 4: M_tot 0.000 μB/f.u., formation energy from raw total energies -2.2058 eV per atom.